VASP calculation (GGA-PBE) on an optimized crystal structure of Mg4Ag7Au.

ΔE_f	-189.7	meV/atom
energy above the most stable polymorph in this dataset	0.00	eV per formula unit
magnetization	0.00	μB per formula unit
ρ	7.94	g cm⁻³
calculated total energy	-2.658	eV per atom

```
Mg4Ag7Au
1.0
-4.739 -3.270 -0.646
-3.703 -1.537 5.460
-2.649 6.106 0.655
Ag Mg Au
7 4 1
Cartesian
-6.090 1.853 4.830
-3.056 -1.551 2.551
-5.001 -0.553 0.639
-8.036 2.851 2.918
-7.726 0.263 1.610
-3.366 1.037 3.860
-5.019 4.471 0.333
-2.554 0.941 1.065
-5.444 2.021 1.987
-5.648 -0.721 3.483
-8.538 0.358 4.404
0.000 0.000 0.000
```